Record 1
Sr2TlBi, PBEsol geometry, DFT meta-GGA SCAN; ΔE_f = -0.7261 eV per atom
1.0
8.106 0.000 0.000
0.000 8.106 0.000
0.000 0.000 8.106
Sr Tl Bi
8 4 4
Direct
0.250 0.250 0.250
0.250 0.250 0.750
0.250 0.750 0.250
0.250 0.750 0.750
0.750 0.250 0.250
0.750 0.250 0.750
0.750 0.750 0.250
0.750 0.750 0.750
0.000 0.000 0.000
0.000 0.500 0.500
0.500 0.000 0.500
0.500 0.500 0.000
0.000 0.000 0.500
0.000 0.500 0.000
0.500 0.000 0.000
0.500 0.500 0.500

***

Record 2
CsTcAs2Se, PBEsol geometry, DFT meta-GGA SCAN; formation energy (no corrections) = -0.0133 eV/atom
1.0
4.780 0.000 0.000
0.000 4.780 0.000
0.000 0.000 5.439
Cs Tc As Se
1 1 2 1
Direct
0.000 0.000 0.000
0.500 0.500 0.500
0.000 0.500 0.500
0.500 0.000 0.500
0.500 0.500 0.000

***

Record 3
CuNi2As, PBEsol geometry, DFT meta-GGA SCAN; ΔE_f = -0.0691 eV per atom
1.0
8.259 0.000 0.000
0.000 3.470 0.000
-1.522 0.000 3.212
Cu Ni As
2 4 2
Direct
0.000 0.000 0.000
0.500 0.500 0.000
0.246 0.000 0.747
0.493 0.000 0.493
0.746 0.500 0.747
0.993 0.500 0.493
0.250 0.500 0.250
0.750 0.000 0.250

***

Record 4
Ca2ZrNbZn, PBEsol geometry, DFT meta-GGA SCAN; ΔE_f = 0.8758 eV per atom
1.0
5.146 0.000 0.000
0.000 5.146 0.000
0.000 0.000 5.214
Ca Zr Nb Zn
2 1 1 1
Direct
0.000 0.500 0.000
0.500 0.000 0.000
0.000 0.000 0.500
0.500 0.500 0.500
0.000 0.000 0.000

***

Record 5
AlPPb2Au, PBEsol geometry, DFT meta-GGA SCAN; ΔE_f = 0.5149 eV per atom
1.0
5.532 0.000 0.000
0.000 5.532 0.000
0.000 0.000 4.423
Al P Pb Au
1 1 2 1
Direct
0.000 0.000 0.000
0.000 0.000 0.500
0.000 0.500 0.500
0.500 0.000 0.500
0.500 0.500 0.000

***

Record 6
FeNi2Os, PBEsol geometry, DFT meta-GGA SCAN; offset from the most stable computed form = 138 meV per atom; ΔE_f = 0.2810 eV per atom
1.0
5.696 0.000 0.000
0.000 5.696 0.000
0.000 0.000 5.696
Fe Ni Os
4 8 4
Direct
0.000 0.000 0.000
0.000 0.500 0.500
0.500 0.000 0.500
0.500 0.500 0.000
0.250 0.250 0.250
0.250 0.250 0.750
0.250 0.750 0.250
0.250 0.750 0.750
0.750 0.250 0.250
0.750 0.250 0.750
0.750 0.750 0.250
0.750 0.750 0.750
0.000 0.000 0.500
0.000 0.500 0.000
0.500 0.000 0.000
0.500 0.500 0.500